Arrangement i

VASP calculation (PBE-GGA) on an optimized crystal structure of LaGePt3.

Calculated values
Total moment, μB/atom: 0.00
Volume, Å³ per cell: 144.6
Density, g/cm³: 9.15

Lattice parameters (Å, degrees): 5.249 5.249 5.249 90.00 90.00 90.00
Fractional positions:
Ge1 0.500 0.500 0.500
Pt1 0.500 0.000 0.000
Pt2 0.000 0.000 0.500
Pt3 0.000 0.500 0.000
La1 0.000 0.000 0.000



Arrangement ii

VASP calculation (PBE-GGA) on an optimized crystal structure of LaGePt3.

Calculated values
Total moment, μB/atom: 0.00
Volume, Å³ per cell: 108.6
Density, g/cm³: 12.18

Lattice parameters (Å, degrees): 4.771 4.771 4.771 90.00 90.00 90.00
Fractional positions:
La1 0.500 0.500 0.500
Pt1 0.500 0.000 0.000
Ge1 0.000 0.000 0.000
Pt2 0.000 0.000 0.500
Pt3 0.000 0.500 0.000



Arrangement iii

VASP calculation (PBE-GGA) on an optimized crystal structure of LaGePt3.

Calculated values
Total moment, μB/atom: 0.00
Volume, Å³ per cell: 212.3
Density, g/cm³: 12.46

Lattice parameters (Å, degrees): 5.263 5.675 7.109 90.00 90.00 90.00
Fractional positions:
La1 0.500 0.500 0.500
Pt1 0.000 0.124 0.174
La2 0.500 0.000 0.000
Ge1 0.000 0.000 0.500
Pt2 0.000 0.876 0.826
Pt3 0.500 0.000 0.500
Ge2 0.000 0.500 0.000
Pt4 0.000 0.376 0.674
Pt5 0.000 0.624 0.326
Pt6 0.500 0.500 0.000



Arrangement iv

VASP calculation (PBE-GGA) on an optimized crystal structure of LaGePt3.

Calculated values
Total moment, μB/atom: 0.00
Volume, Å³ per cell: 97.9
Density, g/cm³: 13.52

Lattice parameters (Å, degrees): 4.157 4.157 6.384 70.99 70.98 90.04
Fractional positions:
Pt1 0.809 0.612 0.087
La1 0.390 0.193 0.926
Ge1 0.022 0.826 0.662
Pt2 0.143 0.447 0.418
Pt3 0.644 0.947 0.418



Stability, highest: arrangement iv



Arrangement i

VASP calculation (PBE-GGA) on an optimized crystal structure of LaSmGePt.

Calculated values
Total moment, μB/atom: 0.00
Volume, Å³ per cell: 232.6
Density, g/cm³: 7.95

Lattice parameters (Å, degrees): 4.730 4.730 10.396 90.00 90.00 90.00
Fractional positions:
Sm1 0.500 0.500 0.500
La1 0.500 0.000 0.165
Ge1 0.000 0.500 0.113
Ge2 0.500 0.000 0.887
Sm2 0.000 0.000 0.500
Pt1 0.000 0.500 0.343
Pt2 0.500 0.000 0.657
La2 0.000 0.500 0.835



Arrangement ii

VASP calculation (PBE-GGA) on an optimized crystal structure of LaSmGePt.

Calculated values
Total moment, μB/atom: 0.00
Volume, Å³ per cell: 98.8
Density, g/cm³: 9.36

Lattice parameters (Å, degrees): 5.190 5.190 5.190 60.00 60.00 60.00
Fractional positions:
Sm1 0.000 0.000 0.000
Pt1 0.750 0.750 0.750
Ge1 0.250 0.250 0.250
La1 0.500 0.500 0.500



Stability, highest: arrangement ii



Arrangement i

VASP calculation (PBE-GGA) on an optimized crystal structure of LaTbGePt.

Calculated values
Total moment, μB/atom: 0.00
Volume, Å³ per cell: 227.2
Density, g/cm³: 8.27

Lattice parameters (Å, degrees): 4.693 4.693 10.315 90.00 90.00 90.00
Fractional positions:
La1 0.500 0.000 0.167
Tb1 0.000 0.000 0.500
Pt1 0.000 0.500 0.346
Ge1 0.000 0.500 0.115
Tb2 0.500 0.500 0.500
Pt2 0.500 0.000 0.654
Ge2 0.500 0.000 0.885
La2 0.000 0.500 0.833



Arrangement ii

VASP calculation (PBE-GGA) on an optimized crystal structure of LaTbGePt.

Calculated values
Total moment, μB/atom: 0.00
Volume, Å³ per cell: 96.7
Density, g/cm³: 9.71

Lattice parameters (Å, degrees): 5.152 5.152 5.152 60.00 60.00 60.00
Fractional positions:
La1 0.000 0.000 0.000
Pt1 0.250 0.250 0.250
Ge1 0.750 0.750 0.750
Tb1 0.500 0.500 0.500



Stability, highest: arrangement ii